A:
A geometry-optimized Nd7YHo2 structure. Source: Alexandria via LeMat-Bulk, functional PBE-GGA.

Cell: 5.6805 9.3860 9.3860 Å, 123.63 90.00 90.00°
Closest atoms and distances in Å follow each position.
Positions (direct):
Y1 0.0000 0.0000 0.0000  10 Nd 3.63-3.76
Ho1 0.5000 0.7053 0.2947  7 Nd 3.10-3.40
Ho2 0.5000 0.2947 0.7053  7 Nd 3.10-3.40
Nd1 0.0000 0.2195 0.7805  2 Ho 3.10
Nd2 0.5000 0.5000 0.5000  2 Ho 3.40, 4 Nd 3.41
Nd3 0.5000 0.9342 0.7076  2 Nd 3.18-3.41, 2 Ho 3.23-3.40
Nd4 0.5000 0.0658 0.2924  2 Nd 3.18-3.41, 2 Ho 3.23-3.40
Nd5 0.5000 0.2924 0.0658  2 Nd 3.18-3.41, 2 Ho 3.23-3.40
Nd6 0.5000 0.7076 0.9342  2 Nd 3.18-3.41, 2 Ho 3.23-3.40
Nd7 0.0000 0.7805 0.2195  2 Ho 3.10

Fermi-level density of states	15.36	states/eV/cell

---

B:
A geometry-optimized Nd7YHo2 structure. Source: Alexandria via LeMat-Bulk, functional PBE-GGA.

Cell: 6.3059 9.6307 9.6460 Å, 141.93 70.91 102.64°
Closest atoms and distances in Å follow each position.
Positions (direct):
Ho1 0.7993 0.9998 0.4013  9 Nd 3.62-3.64, 2 Ho 3.63, 1 Y 3.66
Ho2 0.2007 0.0002 0.5987  9 Nd 3.62-3.64, 2 Ho 3.63, 1 Y 3.66
Nd1 0.2999 0.5030 0.4019  2 Y 3.62-3.65, 9 Nd 3.62-3.66, 1 Ho 3.63
Nd2 0.7001 0.4970 0.5981  2 Y 3.62-3.65, 9 Nd 3.62-3.66, 1 Ho 3.63
Nd3 0.9025 0.5005 0.1993  3 Ho 3.62-3.63, 8 Nd 3.63-3.66, 1 Y 3.64
Nd4 0.6011 0.0010 0.7991  3 Ho 3.62-3.64, 7 Nd 3.62-3.68, 2 Y 3.65
Nd5 0.5000 0.5000 0.0000  8 Nd 3.62-3.65, 4 Ho 3.63
Nd6 0.3989 0.9990 0.2009  3 Ho 3.62-3.64, 7 Nd 3.62-3.68, 2 Y 3.65
Nd7 0.0975 0.4995 0.8007  3 Ho 3.62-3.63, 8 Nd 3.63-3.66, 1 Y 3.64
Y1 0.0000 0.0000 0.0000  10 Nd 3.62-3.65, 2 Ho 3.66

Fermi-level density of states	14.70	states/eV/cell

---

Q: Which of them is the least stable? A: A.

---

A:
A geometry-optimized Nd8YHo2 structure. Source: Alexandria via LeMat-Bulk, functional PBE-GGA.

Cell: 6.7261 10.4189 10.4189 Å, 38.25 59.75 59.75°
Closest atoms and distances in Å follow each position.
Positions (direct):
Ho1 0.5873 0.8025 0.8025  7 Nd 3.40-3.69, 1 Y 3.79
Ho2 0.4127 0.1975 0.1975  7 Nd 3.40-3.69, 1 Y 3.79
Nd1 0.8308 0.2444 0.2444  5 Nd 3.33-3.50, 4 Ho 3.40-3.69
Nd2 0.7680 0.6506 0.1743  5 Nd 3.25-3.57, 1 Y 3.39, 1 Ho 3.49
Nd3 0.2740 0.4058 0.4058  6 Nd 3.38-3.76, 1 Ho 3.69
Nd4 0.2320 0.3494 0.8257  5 Nd 3.25-3.57, 1 Y 3.39, 1 Ho 3.49
Nd5 0.7680 0.1743 0.6506  5 Nd 3.25-3.57, 1 Y 3.39, 1 Ho 3.49
Nd6 0.7260 0.5942 0.5942  6 Nd 3.38-3.76, 1 Ho 3.69
Nd7 0.2320 0.8257 0.3494  5 Nd 3.25-3.57, 1 Y 3.39, 1 Ho 3.49
Nd8 0.1692 0.7556 0.7556  5 Nd 3.33-3.50, 4 Ho 3.40-3.69
Y1 0.0000 0.0000 0.0000  4 Nd 3.39, 2 Ho 3.79

Fermi-level density of states	18.08	states/eV/cell

---

B:
A geometry-optimized Nd8YHo2 structure. Source: Alexandria via LeMat-Bulk, functional PBE-GGA.

Cell: 8.6825 9.2683 9.2683 Å, 43.20 52.60 52.60°
Closest atoms and distances in Å follow each position.
Positions (direct):
Nd1 0.2986 0.7397 0.7397  1 Nd 3.17, 1 Y 3.41
Nd2 0.1960 0.3532 0.8359  3 Nd 3.29-3.56, 2 Ho 3.48-3.57, 1 Y 3.51
Nd3 0.8040 0.6468 0.1641  3 Nd 3.29-3.56, 2 Ho 3.48-3.57, 1 Y 3.51
Nd4 0.1960 0.8359 0.3532  3 Nd 3.29-3.56, 2 Ho 3.48-3.57, 1 Y 3.51
Nd5 0.2234 0.3917 0.3917  2 Nd 3.17, 1 Ho 3.31
Nd6 0.8040 0.1641 0.6468  3 Nd 3.29-3.56, 2 Ho 3.48-3.57, 1 Y 3.51
Nd7 0.7014 0.2603 0.2603  1 Nd 3.17, 1 Y 3.41
Nd8 0.7766 0.6083 0.6083  2 Nd 3.17, 1 Ho 3.31
Ho1 0.5279 0.8574 0.8574  8 Nd 3.31-3.66, 1 Y 3.51
Ho2 0.4721 0.1426 0.1426  8 Nd 3.31-3.66, 1 Y 3.51
Y1 0.0000 0.0000 0.0000  10 Nd 3.41-3.76, 2 Ho 3.51

Fermi-level density of states	15.90	states/eV/cell

---

Q: Which of them is the least stable? A: B.

---

A:
A geometry-optimized Nd5Y2Ho2 structure. Source: Alexandria via LeMat-Bulk, functional PBE-GGA.

Cell: 11.9589 6.7974 10.1935 Å, 109.48 125.92 90.00°
Closest atoms and distances in Å follow each position.
Positions (direct):
Nd1 0.1816 0.6666 0.9008  4 Nd 3.14-3.43, 1 Y 3.35, 1 Ho 3.46
Nd2 0.7808 0.2658 0.0992  4 Nd 3.14-3.43, 1 Y 3.35, 1 Ho 3.46
Nd3 0.4191 0.5302 0.2889  4 Nd 3.14-3.45, 2 Y 3.34-3.48, 1 Ho 3.42
Nd4 0.0164 0.6513 0.5000  4 Nd 3.29-3.42, 2 Ho 3.41-3.51, 2 Y 3.57
Nd5 0.6302 0.7414 0.7111  4 Nd 3.14-3.45, 2 Y 3.34-3.48, 1 Ho 3.42
Nd6 0.5809 0.2414 0.7111  4 Nd 3.14-3.45, 2 Y 3.34-3.48, 1 Ho 3.42
Nd7 0.2192 0.1666 0.9008  4 Nd 3.14-3.43, 1 Y 3.35, 1 Ho 3.46
Nd8 0.9836 0.1513 0.5000  4 Nd 3.29-3.42, 2 Ho 3.41-3.51, 2 Y 3.57
Nd9 0.8184 0.7658 0.0992  4 Nd 3.14-3.43, 1 Y 3.35, 1 Ho 3.46
Nd10 0.3698 0.0302 0.2889  4 Nd 3.14-3.45, 2 Y 3.34-3.48, 1 Ho 3.42
Ho1 0.2487 0.3361 0.5000  4 Nd 3.41-3.51, 2 Y 3.59, 2 Ho 3.77
Ho2 0.0000 0.0621 0.0000  6 Nd 3.46-3.71, 2 Ho 3.77, 2 Y 3.79
Ho3 0.7513 0.8361 0.5000  4 Nd 3.41-3.51, 2 Y 3.59, 2 Ho 3.77
Ho4 0.5000 0.5621 0.0000  6 Nd 3.46-3.71, 2 Ho 3.77, 2 Y 3.79
Y1 0.3820 0.9125 0.7426  4 Nd 3.34-3.57, 1 Ho 3.59, 1 Y 3.65
Y2 0.6180 0.1700 0.2574  4 Nd 3.34-3.57, 1 Ho 3.59, 1 Y 3.65
Y3 0.1394 0.6700 0.2574  4 Nd 3.34-3.57, 1 Ho 3.59, 1 Y 3.65
Y4 0.8606 0.4125 0.7426  4 Nd 3.34-3.57, 1 Ho 3.59, 1 Y 3.65

Fermi-level density of states	24.60	states/eV/cell

---

B:
A geometry-optimized Nd5Y2Ho2 structure. Source: Alexandria via LeMat-Bulk, functional PBE-GGA.

Cell: 6.2802 6.2810 14.0171 Å, 58.60 132.09 131.85°
Closest atoms and distances in Å follow each position.
Positions (direct):
Ho1 0.3350 0.9996 0.3342  1 Ho 3.61, 8 Nd 3.61-3.64, 3 Y 3.62-3.63
Ho2 0.6650 0.0004 0.6658  1 Ho 3.61, 8 Nd 3.61-3.64, 3 Y 3.62-3.63
Nd1 0.7798 0.6656 0.4452  3 Y 3.60-3.62, 4 Nd 3.60-3.63, 5 Ho 3.61-3.64
Nd2 0.2202 0.3344 0.5548  3 Y 3.60-3.62, 4 Nd 3.60-3.63, 5 Ho 3.61-3.64
Nd3 0.5524 0.3346 0.8875  6 Nd 3.61-3.65, 2 Ho 3.62, 4 Y 3.62-3.64
Nd4 0.4476 0.6654 0.1125  6 Nd 3.61-3.65, 2 Ho 3.62, 4 Y 3.62-3.64
Nd5 0.0000 0.0000 0.0000  6 Nd 3.62-3.65, 2 Ho 3.63, 4 Y 3.64
Y1 0.8916 0.3326 0.2239  9 Nd 3.60-3.64, 3 Ho 3.62-3.63
Y2 0.1084 0.6674 0.7761  9 Nd 3.60-3.64, 3 Ho 3.62-3.63

Fermi-level density of states	13.15	states/eV/cell

---

Q: Which of them is the least stable? A: A.

---

A:
A geometry-optimized Nd3YHo6 structure. Source: Alexandria via LeMat-Bulk, functional PBE-GGA.

Cell: 6.3957 10.8833 10.8833 Å, 119.89 90.00 90.00°
Closest atoms and distances in Å follow each position.
Positions (direct):
Nd1 0.4687 0.9348 0.7064  1 Y 3.25, 6 Ho 3.28-3.50, 1 Nd 3.56
Nd2 0.9687 0.0652 0.2936  1 Y 3.25, 6 Ho 3.28-3.50, 1 Nd 3.56
Nd3 0.5726 0.6126 0.3874  7 Ho 3.49-3.78, 2 Nd 3.56, 1 Y 3.76
Nd4 0.9687 0.7064 0.9348  1 Y 3.25, 6 Ho 3.28-3.50, 1 Nd 3.56
Nd5 0.4687 0.2936 0.0652  1 Y 3.25, 6 Ho 3.28-3.50, 1 Nd 3.56
Nd6 0.0726 0.3874 0.6126  7 Ho 3.49-3.78, 2 Nd 3.56, 1 Y 3.76
Ho1 0.5499 0.2850 0.3763  4 Ho 3.39-3.69, 4 Nd 3.40-3.78
Ho2 0.3538 0.9653 0.0347  1 Y 3.39, 2 Ho 3.45, 4 Nd 3.48-3.50
Ho3 0.1543 0.7315 0.2685  4 Ho 3.17-3.38, 1 Y 3.38, 1 Nd 3.49
Ho4 0.6543 0.2685 0.7315  4 Ho 3.17-3.38, 1 Y 3.38, 1 Nd 3.49
Ho5 0.5499 0.6237 0.7150  4 Ho 3.39-3.69, 4 Nd 3.40-3.78
Ho6 0.3703 0.0544 0.4752  5 Ho 3.17-3.54, 2 Nd 3.28-3.42, 1 Y 3.35
Ho7 0.3703 0.5248 0.9456  5 Ho 3.17-3.54, 2 Nd 3.28-3.42, 1 Y 3.35
Ho8 0.8703 0.4752 0.0544  5 Ho 3.17-3.54, 2 Nd 3.28-3.42, 1 Y 3.35
Ho9 0.0499 0.7150 0.6237  4 Ho 3.39-3.69, 4 Nd 3.40-3.78
Ho10 0.0499 0.3763 0.2850  4 Ho 3.39-3.69, 4 Nd 3.40-3.78
Ho11 0.8703 0.9456 0.5248  5 Ho 3.17-3.54, 2 Nd 3.28-3.42, 1 Y 3.35
Ho12 0.8538 0.0347 0.9653  1 Y 3.39, 2 Ho 3.45, 4 Nd 3.48-3.50
Y1 0.1269 0.1887 0.8113  2 Nd 3.25, 6 Ho 3.35-3.55
Y2 0.6269 0.8113 0.1887  2 Nd 3.25, 6 Ho 3.35-3.55

Fermi-level density of states	26.08	states/eV/cell

---

B:
A geometry-optimized Nd3YHo6 structure. Source: Alexandria via LeMat-Bulk, functional PBE-GGA.

Cell: 6.5838 9.6991 6.6476 Å, 111.26 119.68 90.00°
Closest atoms and distances in Å follow each position.
Positions (direct):
Y1 0.5000 0.5000 0.0000  10 Ho 3.71-3.72, 4 Nd 3.73
Ho1 0.5607 0.6884 0.6287  3 Ho 3.24-3.34, 3 Nd 3.29-3.36
Ho2 0.9321 0.3116 0.3713  3 Ho 3.24-3.34, 3 Nd 3.29-3.36
Ho3 0.0679 0.6884 0.6287  3 Ho 3.24-3.34, 3 Nd 3.29-3.36
Ho4 0.4393 0.3116 0.3713  3 Ho 3.24-3.34, 3 Nd 3.29-3.36
Ho5 0.3640 0.0777 0.7281  1 Y 3.72, 6 Nd 3.81-3.95, 9 Ho 3.81-4.09
Ho6 0.6360 0.9223 0.2719  1 Y 3.72, 6 Nd 3.81-3.95, 9 Ho 3.81-4.09
Nd1 0.0709 0.7001 0.1418  4 Ho 3.29-3.36, 2 Nd 3.33-3.53
Nd2 0.9291 0.2999 0.8582  4 Ho 3.29-3.36, 2 Nd 3.33-3.53
Nd3 0.0000 0.0000 0.0000  4 Ho 3.33, 2 Nd 3.33

Fermi-level density of states	17.76	states/eV/cell

---

Q: Which of them is the least stable? A: B.